{
  "formula": "LaHoTa",
  "functional": "PBE-GGA",
  "state": "optimized geometry",
  "lattice_angstrom": [[2.539, 1.466, 4.146], [-2.539, 1.466, 4.146], [0.000, -2.931, 4.146]],
  "species": ["Ho", "La", "Ta"],
  "frac_coords": [[0.000, 0.000, 0.000], [0.750, 0.750, 0.750], [0.250, 0.250, 0.250]],
  "total_magnetization_mub_per_atom": 0.76,
  "delta_e_f_ev_per_atom": 1.242
}